! BeCoHg2O, relaxed, DFT GGA+U; values from VASP
! M_tot (μB/f.u.): 2.55
! Crystal system: tetragonal
! Mass density (g/cm3): 8.10
! Space-group type: P4/mmm (123)
! Raw total energy (eV/atom): -2.5354
! Volume (Å³ per atom): 19.879
&SYSTEM
  ibrav = 0, nat = 5, ntyp = 4
/
ATOMIC_SPECIES
Be 9.01 Be.upf
Co 58.93 Co.upf
Hg 200.59 Hg.upf
O 16.00 O.upf
CELL_PARAMETERS angstrom
5.3392 0.0000 0.0000
0.0000 5.3392 0.0000
0.0000 0.0000 3.4867
ATOMIC_POSITIONS crystal
Be 0.0000 0.0000 0.0000
Co 0.5000 0.5000 0.5000
Hg 0.0000 0.5000 0.5000
Hg 0.5000 0.0000 0.5000
O 0.5000 0.5000 0.0000